Computed, not measured: an optimized crystal structure of KSnPb2 at the PBE-GGA level of DFT.

```
data_KSnPb2
_chemical_formula_sum 'K4 Sn4 Pb8'
_symmetry_space_group_name_H-M 'C m c m'
_symmetry_Int_Tables_number 63
_symmetry_space_group_name_Hall '-C 2c 2'
_cell_length_a 5.578
_cell_length_b 12.461
_cell_length_c 7.966
_cell_angle_alpha 90.00
_cell_angle_beta 90.00
_cell_angle_gamma 90.00
loop_
_atom_site_label
_atom_site_type_symbol
_atom_site_fract_x
_atom_site_fract_y
_atom_site_fract_z
_atom_site_occupancy
K1 K 0.000 0.088 0.250 1
Sn1 Sn 0.000 0.195 0.750 1
Pb1 Pb 0.000 0.369 0.046 1
```

Computed properties:
DFT formation energy in eV/atom: -0.089
Calculated volume in Å³/cell: 553.7

Computed, not measured: an optimized crystal structure of K2Sn5Pb3 at the PBE-GGA level of DFT.

```
data_K2Sn5Pb3
_chemical_formula_sum 'K2 Sn5 Pb3'
_symmetry_space_group_name_H-M 'P -4 m 2'
_symmetry_Int_Tables_number 115
_cell_length_a 5.096
_cell_length_b 5.096
_cell_length_c 13.788
_cell_angle_alpha 90.00
_cell_angle_beta 90.00
_cell_angle_gamma 90.00
loop_
_symmetry_equiv_pos_as_xyz
'x,y,z'
'y,-x,-z'
'-x,-y,z'
'-y,x,-z'
'-x,y,z'
'-y,-x,-z'
'x,-y,z'
'y,x,-z'
loop_
_atom_site_label
_atom_site_type_symbol
_atom_site_fract_x
_atom_site_fract_y
_atom_site_fract_z
_atom_site_occupancy
K1 K 0.000 0.500 0.241 1
Sn1 Sn 0.000 0.000 0.000 1
Sn2 Sn 0.000 0.000 0.500 1
Sn3 Sn 0.000 0.500 0.876 1
Sn4 Sn 0.500 0.500 0.000 1
Pb1 Pb 0.000 0.500 0.641 1
Pb2 Pb 0.500 0.500 0.500 1
```

Computed properties:
DFT formation energy in eV/atom: -0.101
Calculated volume in Å³/cell: 358.1

no.,DFT total energy (eV/cell)
1,-51.5
2,-34.3